Record 1
The following is a GGA-PBE calculation of a geometry-optimized Co10Re3 structure, from OQMD.

Structure (CIF):
```
data_Co10Re3
_cell_length_a 4.6258
_cell_length_b 4.6258
_cell_length_c 24.9833
_cell_angle_alpha 90.00
_cell_angle_beta 90.00
_cell_angle_gamma 120.00
_space_group_name_H-M_alt 'R -3 m'
_space_group_IT_number 166
_space_group_name_Hall '-R 3 2"'
loop_
_atom_site_label
_atom_site_type_symbol
_atom_site_fract_x
_atom_site_fract_y
_atom_site_fract_z
_atom_site_occupancy
Co1 Co 0.0000 0.0000 0.0448 1
Co2 Co 0.0000 0.0000 0.3360 1
Co3 Co 0.0056 0.5028 0.9161 1
Re1 Re 0.0000 0.0000 0.1479 1
Re2 Re 0.0000 0.0000 0.5000 1
```

polymorph energy (0 for the lowest one)	0.0	meV per atom
total moment	1.238	μB/atom
energy of formation	1.6	eV per formula unit
E_tot	-8.213	eV per atom



Record 2
The following is a GGA-PBE calculation of a geometry-optimized CoRe5 structure, from OQMD.

Structure (CIF):
```
data_CoRe5
_cell_length_a 5.0236
_cell_length_b 5.0236
_cell_length_c 15.8819
_cell_angle_alpha 90.00
_cell_angle_beta 90.00
_cell_angle_gamma 120.00
_space_group_name_H-M_alt 'P 63/m m c'
_space_group_IT_number 194
_space_group_name_Hall '-P 6c 2c'
loop_
_atom_site_label
_atom_site_type_symbol
_atom_site_fract_x
_atom_site_fract_y
_atom_site_fract_z
_atom_site_occupancy
Co1 Co 0.3333 0.6667 0.1266 1
Re1 Re 0.0000 0.0000 0.0916 1
Re2 Re 0.0000 0.5000 0.0000 1
Re3 Re 0.1624 0.3248 0.2500 1
Re4 Re 0.3333 0.6667 0.6565 1
```

polymorph energy (0 for the lowest one)	51.4	meV per atom
total moment	0.118	μB/atom
energy of formation	1.5	eV per formula unit
E_tot	-11.281	eV per atom



Record 3
The following is a GGA-PBE calculation of a geometry-optimized Co5Re7 structure, from OQMD.

Structure (CIF):
```
data_Co5Re7
_cell_length_a 4.8403
_cell_length_b 4.8403
_cell_length_c 15.5642
_cell_angle_alpha 90.00
_cell_angle_beta 90.00
_cell_angle_gamma 120.00
_space_group_name_H-M_alt 'P 63/m m c'
_space_group_IT_number 194
_space_group_name_Hall '-P 6c 2c'
loop_
_atom_site_label
_atom_site_type_symbol
_atom_site_fract_x
_atom_site_fract_y
_atom_site_fract_z
_atom_site_occupancy
Co1 Co 0.0000 0.5000 0.0000 1
Co2 Co 0.3333 0.6667 0.1205 1
Re1 Re 0.0000 0.0000 0.0826 1
Re2 Re 0.1645 0.3290 0.2500 1
Re3 Re 0.3333 0.6667 0.6484 1
```

polymorph energy (0 for the lowest one)	19.0	meV per atom
total moment	0.400	μB/atom
energy of formation	3.1	eV per formula unit
E_tot	-9.950	eV per atom



Record 4
The following is a GGA-PBE calculation of a geometry-optimized CoRe2 structure, from OQMD.

Structure (CIF):
```
data_CoRe2
_cell_length_a 5.0935
_cell_length_b 5.0935
_cell_length_c 8.0926
_cell_angle_alpha 90.00
_cell_angle_beta 90.00
_cell_angle_gamma 120.00
_space_group_name_H-M_alt 'P 63/m m c'
_space_group_IT_number 194
_space_group_name_Hall '-P 6c 2c'
loop_
_atom_site_label
_atom_site_type_symbol
_atom_site_fract_x
_atom_site_fract_y
_atom_site_fract_z
_atom_site_occupancy
Co1 Co 0.3333 0.6667 0.0894 1
Re1 Re 0.0000 0.0000 0.0000 1
Re2 Re 0.1745 0.3490 0.7500 1
```

polymorph energy (0 for the lowest one)	600.4	meV per atom
total moment	0.000	μB/atom
energy of formation	1.9	eV per formula unit
E_tot	-10.023	eV per atom



Record 5
The following is a GGA-PBE calculation of a geometry-optimized Co9Re4 structure, from OQMD.

Structure (CIF):
```
data_Co9Re4
_cell_length_a 4.5859
_cell_length_b 4.5859
_cell_length_c 24.7627
_cell_angle_alpha 90.00
_cell_angle_beta 90.00
_cell_angle_gamma 120.00
_space_group_name_H-M_alt 'R -3 m'
_space_group_IT_number 166
_space_group_name_Hall '-R 3 2"'
loop_
_atom_site_label
_atom_site_type_symbol
_atom_site_fract_x
_atom_site_fract_y
_atom_site_fract_z
_atom_site_occupancy
Co1 Co 0.0000 0.0000 0.0000 1
Co2 Co 0.0000 0.0000 0.4529 1
Co3 Co 0.0033 0.5016 0.4111 1
Re1 Re 0.0000 0.0000 0.1653 1
Re2 Re 0.0000 0.0000 0.3528 1
```

polymorph energy (0 for the lowest one)	0.0	meV per atom
total moment	0.009	μB/atom
energy of formation	1.2	eV per formula unit
E_tot	-8.650	eV per atom



Record 6
The following is a GGA-PBE calculation of a geometry-optimized Co25Re4 structure, from OQMD.

Structure (CIF):
```
data_Co25Re4
_cell_length_a 8.6272
_cell_length_b 8.6272
_cell_length_c 8.6272
_cell_angle_alpha 90.00
_cell_angle_beta 90.00
_cell_angle_gamma 90.00
_space_group_name_H-M_alt 'I -4 3 m'
_space_group_IT_number 217
_space_group_name_Hall 'I -4 2 3'
loop_
_atom_site_label
_atom_site_type_symbol
_atom_site_fract_x
_atom_site_fract_y
_atom_site_fract_z
_atom_site_occupancy
Co1 Co 0.0000 0.0000 0.0000 1
Co2 Co 0.0390 0.3597 0.6403 1
Co3 Co 0.0913 0.0913 0.7186 1
Re1 Re 0.1793 0.1793 0.1793 1
```

total moment	1.178	μB/atom
energy of formation	2.5	eV per formula unit
E_tot	-7.754	eV per atom



> Which of these has the highest E_tot?

Co25Re4